Entry from Alexandria: a relaxed BeAs3 crystal (GGA-PBE).

a b c (Å): 2.9714 2.9714 26.4747
angles (deg): 90.00 90.00 120.00
Space group R-3m (No. 166, hexagonal axes)
Asymmetric unit:
Be 0.0000 0.0000 0.0000
As 0.0000 0.0000 0.2661
As 0.0000 0.0000 0.5000

Computed properties:
energy above the most stable polymorph in this dataset	0.250	eV/atom
magnetic moment	0.00	μB per atom
crystal system	trigonal
calculated density	5.75	g/cm³